Crystalline RbNpTl2Se4 at its relaxed geometry, computed with PBE-GGA.

Cell and atoms, written as CIF:
```
data_RbNpTl2Se4
_chemical_formula_sum 'Rb1 Np1 Tl2 Se4'
_cell_length_a 4.3179
_cell_length_b 7.9348
_cell_length_c 8.1736
_cell_angle_alpha 70.25
_cell_angle_beta 90.00
_cell_angle_gamma 90.00
_space_group_name_H-M_alt 'P 1'
_space_group_IT_number 1
loop_
_space_group_symop_operation_xyz
'x,y,z'
loop_
_atom_site_label
_atom_site_type_symbol
_atom_site_fract_x
_atom_site_fract_y
_atom_site_fract_z
Rb1 Rb 0.5000 0.5000 0.0000
Np1 Np 0.0000 0.5000 0.5000
Tl1 Tl 0.0000 0.0000 0.0000
Tl2 Tl 0.5000 0.0000 0.5000
Se1 Se 0.0000 0.7137 0.6920
Se2 Se 0.0000 0.2863 0.3080
Se3 Se 0.5000 0.7104 0.2995
Se4 Se 0.5000 0.2896 0.7005
```

Properties
E_tot = -4.8583 eV per atom
Total moment = 0.25 μB/atom
Space-group type = P2/m
Fermi-level density of states = 0.63 states/eV/atom
ΔE_f (raw) = -786 meV per atom
Theoretical density = 6.60 Mg/m³

***

Crystalline Rb2NpTlSe5 at its relaxed geometry, computed with PBE-GGA.

Cell and atoms, written as CIF:
```
data_Rb2NpTlSe5
_chemical_formula_sum 'Rb4 Np2 Tl2 Se10'
_cell_length_a 4.2569
_cell_length_b 10.2679
_cell_length_c 14.6251
_cell_angle_alpha 90.00
_cell_angle_beta 90.00
_cell_angle_gamma 101.96
_space_group_name_H-M_alt 'P 1'
_space_group_IT_number 1
loop_
_space_group_symop_operation_xyz
'x,y,z'
loop_
_atom_site_label
_atom_site_type_symbol
_atom_site_fract_x
_atom_site_fract_y
_atom_site_fract_z
Rb1 Rb 0.8665 0.7331 0.8181
Rb2 Rb 0.1188 0.2376 0.6868
Rb3 Rb 0.1335 0.2669 0.3181
Rb4 Rb 0.8812 0.7624 0.1868
Np1 Np 0.7957 0.5913 0.5204
Np2 Np 0.2043 0.4087 0.0204
Tl1 Tl 0.5532 0.1064 0.9319
Tl2 Tl 0.4468 0.8936 0.4319
Se1 Se 0.3334 0.6668 0.0060
Se2 Se 0.6939 0.3878 0.8917
Se3 Se 0.4979 0.9959 0.7756
Se4 Se 0.2943 0.5886 0.6421
Se5 Se 0.9387 0.8775 0.5514
Se6 Se 0.6666 0.3332 0.5060
Se7 Se 0.3061 0.6122 0.3917
Se8 Se 0.5021 0.0041 0.2756
Se9 Se 0.7057 0.4114 0.1421
Se10 Se 0.0613 0.1225 0.0514
```

Properties
E_tot = -4.7012 eV per atom
Total moment = 0.22 μB/atom
Space-group type = Cmc2_1
Fermi-level density of states = 0.67 states/eV/atom
ΔE_f (raw) = -850 meV per atom
Theoretical density = 5.35 Mg/m³

***

Crystalline RbNp2Tl3Se6 at its relaxed geometry, computed with PBE-GGA.

Cell and atoms, written as CIF:
```
data_RbNp2Tl3Se6
_chemical_formula_sum 'Rb1 Np2 Tl3 Se6'
_cell_length_a 4.2744
_cell_length_b 9.2477
_cell_length_c 10.2840
_cell_angle_alpha 102.97
_cell_angle_beta 101.99
_cell_angle_gamma 90.00
_space_group_name_H-M_alt 'P 1'
_space_group_IT_number 1
loop_
_space_group_symop_operation_xyz
'x,y,z'
loop_
_atom_site_label
_atom_site_type_symbol
_atom_site_fract_x
_atom_site_fract_y
_atom_site_fract_z
Rb1 Rb 0.5000 0.0000 0.0000
Np1 Np 0.8246 0.6603 0.6493
Np2 Np 0.1754 0.3397 0.3507
Tl1 Tl 0.5000 0.5000 0.0000
Tl2 Tl 0.8369 0.1706 0.6737
Tl3 Tl 0.1631 0.8294 0.3263
Se1 Se 0.3190 0.8640 0.6380
Se2 Se 0.6785 0.5556 0.3570
Se3 Se 0.6810 0.1360 0.3620
Se4 Se 0.0392 0.2837 0.0785
Se5 Se 0.9608 0.7163 0.9215
Se6 Se 0.3215 0.4444 0.6430
```

Properties
E_tot = -5.4339 eV per atom
Total moment = 0.50 μB/atom
Space-group type = C2/m
Fermi-level density of states = 1.29 states/eV/atom
ΔE_f (raw) = -863 meV per atom
Theoretical density = 7.06 Mg/m³

***

Crystalline RbNp3Tl2Se8 at its relaxed geometry, computed with PBE-GGA.

Cell and atoms, written as CIF:
```
data_RbNp3Tl2Se8
_chemical_formula_sum 'Rb1 Np3 Tl2 Se8'
_cell_length_a 8.4684
_cell_length_b 8.4684
_cell_length_c 9.4321
_cell_angle_alpha 63.33
_cell_angle_beta 63.33
_cell_angle_gamma 60.00
_space_group_name_H-M_alt 'P 1'
_space_group_IT_number 1
loop_
_space_group_symop_operation_xyz
'x,y,z'
loop_
_atom_site_label
_atom_site_type_symbol
_atom_site_fract_x
_atom_site_fract_y
_atom_site_fract_z
Rb1 Rb 0.8612 0.8612 0.4165
Np1 Np 0.4993 0.0007 0.0007
Np2 Np 0.0007 0.4993 0.0007
Np3 Np 0.4993 0.4993 0.0007
Tl1 Tl 0.1250 0.1250 0.6249
Tl2 Tl 0.5054 0.5054 0.4839
Se1 Se 0.2711 0.2711 0.1867
Se2 Se 0.7265 0.7265 0.8204
Se3 Se 0.2452 0.2452 0.8107
Se4 Se 0.6988 0.2452 0.8107
Se5 Se 0.2452 0.6988 0.8107
Se6 Se 0.7552 0.3045 0.1851
Se7 Se 0.3045 0.7552 0.1851
Se8 Se 0.7552 0.7552 0.1851
```

Properties
E_tot = -6.0865 eV per atom
Total moment = 0.57 μB/atom
Space-group type = R3m
Fermi-level density of states = 1.78 states/eV/atom
ΔE_f (raw) = -915 meV per atom
Theoretical density = 6.09 Mg/m³

***

Crystalline Rb3TmNp2Se6 at its relaxed geometry, computed with PBE-GGA.

Cell and atoms, written as CIF:
```
data_Rb3TmNp2Se6
_chemical_formula_sum 'Rb3 Tm1 Np2 Se6'
_cell_length_a 7.3972
_cell_length_b 7.3972
_cell_length_c 8.3632
_cell_angle_alpha 98.48
_cell_angle_beta 98.48
_cell_angle_gamma 120.00
_space_group_name_H-M_alt 'P 1'
_space_group_IT_number 1
loop_
_space_group_symop_operation_xyz
'x,y,z'
loop_
_atom_site_label
_atom_site_type_symbol
_atom_site_fract_x
_atom_site_fract_y
_atom_site_fract_z
Rb1 Rb 0.1673 0.8327 0.5000
Rb2 Rb 0.8327 0.1673 0.5000
Rb3 Rb 0.5000 0.5000 0.5000
Tm1 Tm 0.0000 0.0000 0.0000
Np1 Np 0.3334 0.6666 0.0000
Np2 Np 0.6666 0.3334 0.0000
Se1 Se 0.9350 0.6074 0.8048
Se2 Se 0.7375 0.7375 0.1953
Se3 Se 0.0650 0.3926 0.1952
Se4 Se 0.6074 0.9350 0.8048
Se5 Se 0.2625 0.2625 0.8047
Se6 Se 0.3926 0.0650 0.1952
```

Properties
E_tot = -5.9001 eV per atom
Total moment = 0.67 μB/atom
Space-group type = C2/m
Fermi-level density of states = 1.68 states/eV/atom
ΔE_f (raw) = -1387 meV per atom
Theoretical density = 6.02 Mg/m³

***

Crystalline Rb3Tm2NpSe6 at its relaxed geometry, computed with PBE-GGA.

Cell and atoms, written as CIF:
```
data_Rb3Tm2NpSe6
_chemical_formula_sum 'Rb3 Tm2 Np1 Se6'
_cell_length_a 7.3434
_cell_length_b 7.3434
_cell_length_c 8.3554
_cell_angle_alpha 98.41
_cell_angle_beta 98.41
_cell_angle_gamma 119.87
_space_group_name_H-M_alt 'P 1'
_space_group_IT_number 1
loop_
_space_group_symop_operation_xyz
'x,y,z'
loop_
_atom_site_label
_atom_site_type_symbol
_atom_site_fract_x
_atom_site_fract_y
_atom_site_fract_z
Rb1 Rb 0.1662 0.8338 0.5000
Rb2 Rb 0.8338 0.1662 0.5000
Rb3 Rb 0.5000 0.5000 0.5000
Tm1 Tm 0.3340 0.6660 0.0000
Tm2 Tm 0.6660 0.3340 0.0000
Np1 Np 0.0000 0.0000 0.0000
Se1 Se 0.9346 0.5941 0.8056
Se2 Se 0.7239 0.7239 0.1946
Se3 Se 0.0654 0.4059 0.1944
Se4 Se 0.5941 0.9346 0.8056
Se5 Se 0.2761 0.2761 0.8054
Se6 Se 0.4059 0.0654 0.1944
```

Properties
E_tot = -5.3553 eV per atom
Total moment = 0.33 μB/atom
Space-group type = C2/m
Fermi-level density of states = 0.51 states/eV/atom
ΔE_f (raw) = -1547 meV per atom
Theoretical density = 5.80 Mg/m³

***

Crystalline Rb2TmNp2Se6 at its relaxed geometry, computed with PBE-GGA.

Cell and atoms, written as CIF:
```
data_Rb2TmNp2Se6
_chemical_formula_sum 'Rb2 Tm1 Np2 Se6'
_cell_length_a 7.2321
_cell_length_b 7.2321
_cell_length_c 8.5206
_cell_angle_alpha 98.09
_cell_angle_beta 98.09
_cell_angle_gamma 119.97
_space_group_name_H-M_alt 'P 1'
_space_group_IT_number 1
loop_
_space_group_symop_operation_xyz
'x,y,z'
loop_
_atom_site_label
_atom_site_type_symbol
_atom_site_fract_x
_atom_site_fract_y
_atom_site_fract_z
Rb1 Rb 0.8336 0.1664 0.0000
Rb2 Rb 0.1664 0.8336 0.0000
Tm1 Tm 0.0000 0.0000 0.5000
Np1 Np 0.3337 0.6663 0.5000
Np2 Np 0.6663 0.3337 0.5000
Se1 Se 0.7317 0.7317 0.6899
Se2 Se 0.0626 0.3952 0.6897
Se3 Se 0.2683 0.2683 0.3101
Se4 Se 0.3952 0.0626 0.6897
Se5 Se 0.9374 0.6048 0.3103
Se6 Se 0.6048 0.9374 0.3103
```

Properties
E_tot = -6.2356 eV per atom
Total moment = 0.64 μB/atom
Space-group type = C2/m
Fermi-level density of states = 1.78 states/eV/atom
ΔE_f (raw) = -1400 meV per atom
Theoretical density = 5.77 Mg/m³

***

Crystalline Rb2NpU2Se6 at its relaxed geometry, computed with PBE-GGA.

Cell and atoms, written as CIF:
```
data_Rb2NpU2Se6
_chemical_formula_sum 'Rb2 Np1 U2 Se6'
_cell_length_a 7.2741
_cell_length_b 7.2741
_cell_length_c 8.5495
_cell_angle_alpha 98.09
_cell_angle_beta 98.09
_cell_angle_gamma 120.05
_space_group_name_H-M_alt 'P 1'
_space_group_IT_number 1
loop_
_space_group_symop_operation_xyz
'x,y,z'
loop_
_atom_site_label
_atom_site_type_symbol
_atom_site_fract_x
_atom_site_fract_y
_atom_site_fract_z
Rb1 Rb 0.8339 0.1661 0.0000
Rb2 Rb 0.1661 0.8339 0.0000
Np1 Np 0.0000 0.0000 0.5000
U1 U 0.3339 0.6661 0.5000
U2 U 0.6661 0.3339 0.5000
Se1 Se 0.7275 0.7275 0.6927
Se2 Se 0.0631 0.4001 0.6921
Se3 Se 0.2725 0.2725 0.3073
Se4 Se 0.4001 0.0631 0.6921
Se5 Se 0.9369 0.5999 0.3079
Se6 Se 0.5999 0.9369 0.3079
```

Properties
E_tot = -6.5511 eV per atom
Total moment = 0.82 μB/atom
Space-group type = C2/m
Fermi-level density of states = 1.78 states/eV/atom
ΔE_f (raw) = -1246 meV per atom
Theoretical density = 6.00 Mg/m³

***

Crystalline Rb3NpU2Se6 at its relaxed geometry, computed with PBE-GGA.

Cell and atoms, written as CIF:
```
data_Rb3NpU2Se6
_chemical_formula_sum 'Rb3 Np1 U2 Se6'
_cell_length_a 7.3799
_cell_length_b 7.3799
_cell_length_c 8.4151
_cell_angle_alpha 98.41
_cell_angle_beta 98.41
_cell_angle_gamma 120.00
_space_group_name_H-M_alt 'P 1'
_space_group_IT_number 1
loop_
_space_group_symop_operation_xyz
'x,y,z'
loop_
_atom_site_label
_atom_site_type_symbol
_atom_site_fract_x
_atom_site_fract_y
_atom_site_fract_z
Rb1 Rb 0.1659 0.8341 0.5000
Rb2 Rb 0.8341 0.1659 0.5000
Rb3 Rb 0.5000 0.5000 0.5000
Np1 Np 0.0000 0.0000 0.0000
U1 U 0.3333 0.6667 0.0000
U2 U 0.6667 0.3333 0.0000
Se1 Se 0.9341 0.5982 0.8023
Se2 Se 0.7299 0.7299 0.1975
Se3 Se 0.0659 0.4018 0.1977
Se4 Se 0.5982 0.9341 0.8023
Se5 Se 0.2701 0.2701 0.8025
Se6 Se 0.4018 0.0659 0.1977
```

Properties
E_tot = -6.1655 eV per atom
Total moment = 0.83 μB/atom
Space-group type = C2/m
Fermi-level density of states = 1.65 states/eV/atom
ΔE_f (raw) = -1222 meV per atom
Theoretical density = 6.31 Mg/m³

***

- Look up the Fermi-level density of states of the first one.
  0.63 states/eV/atom

***

- Which of these has the highest ΔE_f (raw)?
  RbNpTl2Se4

***

- What is the formula in the sixth record?
  Rb3Tm2NpSe6

***

Repeat the ninth record exactly.
Crystalline Rb3NpU2Se6 at its relaxed geometry, computed with PBE-GGA.

Cell and atoms, written as CIF:
```
data_Rb3NpU2Se6
_chemical_formula_sum 'Rb3 Np1 U2 Se6'
_cell_length_a 7.3799
_cell_length_b 7.3799
_cell_length_c 8.4151
_cell_angle_alpha 98.41
_cell_angle_beta 98.41
_cell_angle_gamma 120.00
_space_group_name_H-M_alt 'P 1'
_space_group_IT_number 1
loop_
_space_group_symop_operation_xyz
'x,y,z'
loop_
_atom_site_label
_atom_site_type_symbol
_atom_site_fract_x
_atom_site_fract_y
_atom_site_fract_z
Rb1 Rb 0.1659 0.8341 0.5000
Rb2 Rb 0.8341 0.1659 0.5000
Rb3 Rb 0.5000 0.5000 0.5000
Np1 Np 0.0000 0.0000 0.0000
U1 U 0.3333 0.6667 0.0000
U2 U 0.6667 0.3333 0.0000
Se1 Se 0.9341 0.5982 0.8023
Se2 Se 0.7299 0.7299 0.1975
Se3 Se 0.0659 0.4018 0.1977
Se4 Se 0.5982 0.9341 0.8023
Se5 Se 0.2701 0.2701 0.8025
Se6 Se 0.4018 0.0659 0.1977
```

Properties
E_tot = -6.1655 eV per atom
Total moment = 0.83 μB/atom
Space-group type = C2/m
Fermi-level density of states = 1.65 states/eV/atom
ΔE_f (raw) = -1222 meV per atom
Theoretical density = 6.31 Mg/m³